No. 1
BeTcCl PBE-GGA optimized geometry; magnetic moment = 0.0 μB/f.u.; formation energy without anion corrections = 0.4006 eV per atom; electronic total energy = -14.74 eV/f.u.; energy above the lowest structure with this stoichiometry = 0.087 eV per atom
1.0
-1.878 -6.177 -0.798
-0.487 -5.900 1.725
-2.889 -0.135 -0.098
Tc Cl Be
1 1 1
Direct
0.648 0.648 0.352
0.363 0.363 0.637
0.989 0.989 0.011


No. 2
BeTcCl PBE-GGA optimized geometry; magnetic moment = 0.0 μB/f.u.; formation energy without anion corrections = 0.3134 eV per atom; electronic total energy = -15.00 eV/f.u.; energy above the lowest structure with this stoichiometry = 0.000 eV per atom
1.0
2.918 0.000 0.000
-1.459 2.527 0.000
0.000 0.000 5.479
Be Cl Tc
1 1 1
Direct
0.000 0.000 0.997
0.667 0.333 0.322
0.333 0.667 0.681


No. 3
BeTcCl PBE-GGA optimized geometry; magnetic moment = 1.9 μB/f.u.; formation energy without anion corrections = 1.2619 eV per atom; electronic total energy = -12.15 eV/f.u.; energy above the lowest structure with this stoichiometry = 0.948 eV per atom
1.0
-1.883 -3.116 1.669
2.106 -3.144 1.311
0.348 -0.678 3.932
Cl Be Tc
1 1 1
Direct
0.750 0.750 0.750
0.500 0.500 0.500
0.000 0.000 0.000


No. 4
BeTcCl PBE-GGA optimized geometry; magnetic moment = 1.8 μB/f.u.; formation energy without anion corrections = 1.0465 eV per atom; electronic total energy = -12.80 eV/f.u.; energy above the lowest structure with this stoichiometry = 0.733 eV per atom
1.0
4.059 0.000 0.000
2.030 3.515 0.000
2.030 1.172 3.314
Be Cl Tc
1 1 1
Direct
0.000 0.000 0.000
0.500 0.500 0.500
0.750 0.750 0.750


No. 5
Be2Tc2Cl PBE-GGA optimized geometry; magnetic moment = 0.0 μB/f.u.; formation energy without anion corrections = 0.6022 eV per atom; electronic total energy = -27.02 eV/f.u.
1.0
4.125 4.983 3.679
1.503 7.286 0.223
-4.643 -5.806 -0.345
Be Cl Tc
2 1 2
Direct
0.626 0.626 0.000
0.374 0.374 0.000
0.000 0.000 0.000
0.750 0.250 0.500
0.250 0.750 0.500


No. 6
BeTcCl PBE-GGA optimized geometry; magnetic moment = 0.0 μB/f.u.; formation energy without anion corrections = 0.7403 eV per atom; electronic total energy = -13.72 eV/f.u.; energy above the lowest structure with this stoichiometry = 0.427 eV per atom
1.0
-1.416 -2.017 -3.390
4.116 0.597 0.516
0.175 -2.354 1.327
Tc Cl Be
1 1 1
Direct
0.333 0.667 0.500
0.667 0.333 0.499
0.000 0.000 0.001